Compound: TlS3N
Source: Alexandria
Functional: GGA-PBE
Structure: relaxed

## Properties
calculated total energy = -13.7 eV per formula unit
polymorph energy (0 for the lowest one) = 775.3 kJ/mol of formula units
formation energy (no corrections) = 1.88 eV per atom

abc: 5.2890 5.2890 5.2890
angles: 90.00 90.00 90.00
Space group Pm-3m (No. 221)
Unique sites:
1 Tl 0.0000 0.0000 0.0000
2 S 0.0000 0.0000 0.5000
3 N 0.5000 0.5000 0.5000

Compound: PmDy3Ho4
Source: Alexandria
Functional: GGA-PBE
Structure: relaxed

## Properties
calculated total energy = -35.1 eV per formula unit
ΔH_f (0 K) = 217 meV/atom
polymorph energy (0 for the lowest one) = 160.0 kJ/mol of formula units

abc: 5.6312 26.1142 3.5365
angles: 90.00 90.00 90.00
Space group Cmmm (No. 65)
Unique sites:
1 Pm 0.0000 0.0000 0.0000
2 Dy 0.0000 0.3440 0.0000
3 Dy 0.0000 0.5000 0.5000
4 Ho 0.0000 0.1049 0.5000
5 Ho 0.0000 0.2238 0.5000

Compound: Tb3Sm2Dy6Er
Source: Alexandria
Functional: GGA-PBE
Structure: relaxed

## Properties
calculated total energy = -55.3 eV per formula unit
ΔH_f (0 K) = 15 meV/atom

abc: 6.1615 10.6631 11.7869
angles: 90.00 99.97 90.00
Space group C2/m (No. 12)
Unique sites:
1 Tb 0.0000 0.0000 0.0000
2 Tb 0.0000 0.3335 0.0000
3 Sm 0.0000 0.1666 0.5000
4 Dy 0.2486 0.5000 0.2490
5 Dy 0.2497 0.1664 0.2492
6 Er 0.0000 0.5000 0.5000

Compound: Er5TlPb6
Source: Alexandria
Functional: GGA-PBE
Structure: relaxed

## Properties
calculated total energy = -51.6 eV per formula unit
ΔH_f (0 K) = -351 meV/atom

abc: 4.8502 9.0368 15.3039
angles: 90.00 90.00 90.00
Space group Immm (No. 71)
Unique sites:
1 Er 0.0000 0.0000 0.0000
2 Er 0.0000 0.0000 0.3554
3 Er 0.0000 0.5000 0.3269
4 Tl 0.0000 0.5000 0.0000
5 Pb 0.0000 0.2448 0.1707
6 Pb 0.0000 0.2687 0.5000

Compound: CrFeCoRe
Source: Alexandria
Functional: GGA-PBE
Structure: relaxed

## Properties
calculated total energy = -37.1 eV per formula unit
ΔH_f (0 K) = 135 meV/atom

abc: 5.8394 5.8394 5.8394
angles: 90.00 90.00 90.00
Space group F-43m (No. 216)
Unique sites:
1 Cr 0.0000 0.0000 0.0000
2 Fe 0.0000 0.0000 0.5000
3 Co 0.2500 0.2500 0.2500
4 Re 0.2500 0.2500 0.7500

Compound: Ho2TlSi
Source: Alexandria
Functional: GGA-PBE
Structure: relaxed

## Properties
calculated total energy = -18.5 eV per formula unit
formation energy (no corrections) = -0.38 eV per atom

abc: 3.6278 3.6278 7.4349
angles: 90.00 90.00 90.00
Space group P4/mmm (No. 123)
Unique sites:
1 Ho 0.0000 0.0000 0.2185
2 Tl 0.5000 0.5000 0.5000
3 Si 0.5000 0.5000 0.0000

Compound: B
Source: Alexandria
Functional: GGA-PBE
Structure: relaxed

## Properties
calculated total energy = -6.3 eV per formula unit
ΔH_f (0 K) = 382 meV/atom
polymorph energy (0 for the lowest one) = 36.8 kJ/mol of formula units

abc: 3.2652 5.1170 1.8626
angles: 90.00 119.97 90.00
Space group C2/m (No. 12)
Unique sites:
1 B 0.0000 0.1697 0.0000

Compound: PrY2Cu
Source: Alexandria
Functional: GGA-PBE
Structure: relaxed

## Properties
calculated total energy = -22.1 eV per formula unit
ΔH_f (0 K) = -63 meV/atom
polymorph energy (0 for the lowest one) = 13.8 kJ/mol of formula units

abc: 5.0316 7.4811 6.4863
angles: 90.00 112.81 90.00
Space group P2_1/m (No. 11)
Unique sites:
1 Pr 0.0463 0.2500 0.0924
2 Y 0.3497 0.0282 0.6997
3 Cu 0.1994 0.7500 0.3965